Entry 1:
Compound: Sm4Ag3Hg
Source: Alexandria
Functional: GGA-PBE
Structure: optimized geometry

The value obtained for the energy above the most stable polymorph in this dataset is 0.000 eV per formula unit. For the final energy, the calculation gives -3.795 eV/atom. The energy relative to the elements is -0.3285 eV/atom. The calculation puts the density at 8.990 g/cm3. The calculation puts the total moment at 0.00 μB/cell. The value obtained for the density of states at the Fermi level is 0.829 states/eV/atom. Its volume is 207.9 Å³ per cell.

The space group is P4/mmm (No. 123) and the conventional cell measures 3.728, 3.728 and 14.958 Å, with angles of 90.00, 90.00 and 90.00 degrees. The inequivalent atoms are Sm at (0.000, 0.000, 0.124), Sm at (0.000, 0.000, 0.371), Ag at (0.500, 0.500, 0.000), Ag at (0.500, 0.500, 0.247) and Hg at (0.500, 0.500, 0.500).


Entry 2:
Compound: Sm3Ag6Hg2
Source: Alexandria
Functional: GGA-PBE
Structure: optimized geometry

For the final energy, the calculation gives -3.061 eV/atom. The energy relative to the elements is -0.1637 eV/atom. The calculation puts the density at 9.528 g/cm3. The calculation puts the total moment at 0.00 μB/cell. The value obtained for the density of states at the Fermi level is 0.494 states/eV/atom. Its volume is 522.6 Å³ per cell.

The space group is I4/mmm (No. 139) and the conventional cell measures 4.176, 4.176 and 29.971 Å, with angles of 90.00, 90.00 and 90.00 degrees. The inequivalent atoms are Sm at (0.000, 0.000, 0.000), Sm at (0.000, 0.000, 0.206), Ag at (0.000, 0.000, 0.316), Ag at (0.000, 0.500, 0.117) and Hg at (0.000, 0.000, 0.450).


Entry 3:
Compound: SmAgHg
Source: Alexandria
Functional: GGA-PBE
Structure: optimized geometry

For the final energy, the calculation gives -2.946 eV/atom. The energy relative to the elements is -0.3218 eV/atom. The calculation puts the density at 10.508 g/cm3. The calculation puts the total moment at 0.01 μB/cell. The value obtained for the density of states at the Fermi level is 0.501 states/eV/atom. Its volume is 145.0 Å³ per cell.

The space group is I4mm (No. 107) and the conventional cell measures 3.887, 3.887 and 9.596 Å, with angles of 90.00, 90.00 and 90.00 degrees. The inequivalent atoms are Sm at (0.000, 0.000, 0.000), Ag at (0.000, 0.000, 0.329) and Hg at (0.000, 0.000, 0.672).


Entry 4:
Compound: Sm4AgHg3
Source: Alexandria
Functional: GGA-PBE
Structure: optimized geometry

The value obtained for the energy above the most stable polymorph in this dataset is 0.306 eV per formula unit. For the final energy, the calculation gives -3.215 eV/atom. The energy relative to the elements is -0.3859 eV/atom. The calculation puts the density at 9.912 g/cm3. The calculation puts the total moment at 0.00 μB/cell. The value obtained for the density of states at the Fermi level is 1.152 states/eV/atom. Its volume is 219.6 Å³ per cell.

The space group is Pmm2 (No. 25) and the conventional cell measures 3.776, 4.911 and 11.844 Å, with angles of 90.00, 90.00 and 90.00 degrees. The inequivalent atoms are Sm at (0.000, 0.000, 0.000), Sm at (0.000, 0.500, 0.291), Sm at (0.500, 0.000, 0.493), Sm at (0.500, 0.500, 0.795), Ag at (0.500, 0.000, 0.224), Hg at (0.000, 0.000, 0.728), Hg at (0.000, 0.500, 0.562) and Hg at (0.500, 0.500, 0.067).


Entry 5:
Compound: Sm6AgHg5
Source: Alexandria
Functional: GGA-PBE
Structure: optimized geometry

The value obtained for the energy above the most stable polymorph in this dataset is 1.956 eV per formula unit. For the final energy, the calculation gives -2.998 eV/atom. The energy relative to the elements is -0.2750 eV/atom. The calculation puts the density at 9.500 g/cm3. The calculation puts the total moment at 0.00 μB/cell. The value obtained for the density of states at the Fermi level is 1.182 states/eV/atom. Its volume is 703.7 Å³ per cell.

The space group is C2/m (No. 12) and the conventional cell measures 6.916, 11.255 and 9.235 Å, with angles of 90.00, 101.80 and 90.00 degrees. The inequivalent atoms are Sm at (0.232, 0.000, 0.218), Sm at (0.238, 0.168, 0.737), Ag at (0.000, 0.500, 0.000), Hg at (0.000, 0.000, 0.500), Hg at (0.000, 0.204, 0.000) and Hg at (0.000, 0.362, 0.500).


Entry 6:
Compound: Sm2Ag6Hg
Source: Alexandria
Functional: GGA-PBE
Structure: optimized geometry

For the final energy, the calculation gives -3.138 eV/atom. The energy relative to the elements is -0.1552 eV/atom. The calculation puts the density at 9.504 g/cm3. The calculation puts the total moment at 0.00 μB/cell. The value obtained for the density of states at the Fermi level is 0.534 states/eV/atom. Its volume is 200.7 Å³ per cell.

The space group is P-3m1 (No. 164) and the conventional cell measures 6.2782, 6.2782 and 5.8773 Å, with angles of 90.00, 90.00 and 120.00 degrees. The inequivalent atoms are Sm at (0.3333, 0.6667, 0.1591), Ag at (0.1845, 0.3690, 0.6681) and Hg at (0.0000, 0.0000, 0.0000).


Entry 7:
Compound: Sm8Ag2Hg
Source: Alexandria
Functional: GGA-PBE
Structure: optimized geometry

The value obtained for the energy above the most stable polymorph in this dataset is 0.078 eV per formula unit. For the final energy, the calculation gives -4.124 eV/atom. The energy relative to the elements is -0.1460 eV/atom. The calculation puts the density at 8.109 g/cm3. The calculation puts the total moment at 0.00 μB/cell. The value obtained for the density of states at the Fermi level is 1.009 states/eV/atom. Its volume is 663.2 Å³ per cell.

The space group is C2/m (No. 12) and the conventional cell measures 18.308, 5.283 and 7.181 Å, with angles of 90.00, 107.28 and 90.00 degrees. The inequivalent atoms are Sm at (0.027, 0.000, 0.268), Sm at (0.092, 0.500, 0.964), Sm at (0.170, 0.500, 0.478), Sm at (0.197, 0.000, 0.819), Ag at (0.183, 0.000, 0.219) and Hg at (0.000, 0.500, 0.500).


Entry 8:
Compound: Sm3Ag2Hg
Source: Alexandria
Functional: GGA-PBE
Structure: optimized geometry

For the final energy, the calculation gives -3.706 eV/atom. The energy relative to the elements is -0.3459 eV/atom. The calculation puts the density at 9.186 g/cm3. The calculation puts the total moment at 0.00 μB/cell. The value obtained for the density of states at the Fermi level is 0.854 states/eV/atom. Its volume is 313.6 Å³ per cell.

The space group is P-3m1 (No. 164) and the conventional cell measures 5.2844, 5.2844 and 12.9668 Å, with angles of 90.00, 90.00 and 120.00 degrees. The inequivalent atoms are Sm at (0.0000, 0.0000, 0.2469), Sm at (0.3333, 0.6667, 0.4171), Sm at (0.3333, 0.6667, 0.9194), Ag at (0.0000, 0.0000, 0.0000), Ag at (0.0000, 0.0000, 0.5000), Ag at (0.3333, 0.6667, 0.1672) and Hg at (0.3333, 0.6667, 0.6692).


Entry 9:
Compound: SmAgHg6
Source: Alexandria
Functional: GGA-PBE
Structure: optimized geometry

The value obtained for the energy above the most stable polymorph in this dataset is 0.000 eV per formula unit. For the final energy, the calculation gives -1.301 eV/atom. The energy relative to the elements is -0.1280 eV/atom. The calculation puts the density at 12.331 g/cm3. The calculation puts the total moment at 0.00 μB/cell. The value obtained for the density of states at the Fermi level is 0.478 states/eV/atom. Its volume is 393.7 Å³ per cell.

The space group is Amm2 (No. 38) and the conventional cell measures 4.997, 7.130 and 11.051 Å, with angles of 90.00, 90.00 and 90.00 degrees. The inequivalent atoms are Sm at (0.000, 0.000, 0.000), Ag at (0.500, 0.000, 0.223), Hg at (0.000, 0.000, 0.492), Hg at (0.000, 0.239, 0.252), Hg at (0.500, 0.000, 0.800) and Hg at (0.500, 0.220, 0.527).


Entry 10:
Compound: Sm4AgHg
Source: Alexandria
Functional: GGA-PBE
Structure: optimized geometry

The value obtained for the energy above the most stable polymorph in this dataset is 0.000 eV per formula unit. For the final energy, the calculation gives -3.900 eV/atom. The energy relative to the elements is -0.2283 eV/atom. The calculation puts the density at 8.644 g/cm3. The calculation puts the total moment at 1.42 μB/cell. The value obtained for the density of states at the Fermi level is 1.192 states/eV/atom. Its volume is 174.8 Å³ per cell.

The space group is P4/mmm (No. 123) and the conventional cell measures 3.700, 3.700 and 12.765 Å, with angles of 90.00, 90.00 and 90.00 degrees. The inequivalent atoms are Sm at (0.000, 0.000, 0.146), Sm at (0.500, 0.500, 0.344), Ag at (0.500, 0.500, 0.000) and Hg at (0.000, 0.000, 0.500).


Entry 11:
Compound: Sm4Ag2Hg5
Source: Alexandria
Functional: GGA-PBE
Structure: optimized geometry

For the final energy, the calculation gives -2.722 eV/atom. The energy relative to the elements is -0.3503 eV/atom. The calculation puts the density at 10.648 g/cm3. The calculation puts the total moment at 0.00 μB/cell. The value obtained for the density of states at the Fermi level is 0.874 states/eV/atom. Its volume is 283.8 Å³ per cell.

The space group is P2/m (No. 10) and the conventional cell measures 7.857, 3.619 and 10.019 Å, with angles of 90.00, 94.85 and 90.00 degrees. The inequivalent atoms are Sm at (0.182, 0.000, 0.377), Sm at (0.260, 0.000, 0.932), Ag at (0.067, 0.500, 0.133), Hg at (0.171, 0.500, 0.653), Hg at (0.443, 0.500, 0.188) and Hg at (0.500, 0.500, 0.500).


Entry 12:
Compound: Sm2Ag5Hg3
Source: Alexandria
Functional: GGA-PBE
Structure: optimized geometry

For the final energy, the calculation gives -2.601 eV/atom. The energy relative to the elements is -0.1408 eV/atom. The calculation puts the density at 10.323 g/cm3. The calculation puts the total moment at 0.00 μB/cell. The value obtained for the density of states at the Fermi level is 0.490 states/eV/atom. Its volume is 927.7 Å³ per cell.

The space group is Ibam (No. 72) and the conventional cell measures 11.750, 13.446 and 5.872 Å, with angles of 90.00, 90.00 and 90.00 degrees. The inequivalent atoms are Sm at (0.125, 0.244, 0.000), Ag at (0.000, 0.500, 0.250), Ag at (0.134, 0.146, 0.500), Ag at (0.246, 0.500, 0.250), Hg at (0.000, 0.000, 0.250) and Hg at (0.122, 0.351, 0.500).